[1]
VASP calculation (GGA-PBEsol) on BaZn2 after structural relaxation. Values from VASP.

Structure (Quantum ESPRESSO input):
```
&SYSTEM
  ibrav = 0, nat = 6, ntyp = 2
/
ATOMIC_SPECIES
Zn 65.41 Zn.upf
Ba 137.33 Ba.upf
CELL_PARAMETERS angstrom
-1.0066 -1.1431 5.6875
4.4486 0.1030 3.8557
0.3478 4.3262 3.9787
ATOMIC_POSITIONS crystal
Zn 0.1250 0.1250 0.1250
Zn 0.6250 0.1250 0.1250
Zn 0.1250 0.1250 0.6250
Zn 0.1250 0.6250 0.1250
Ba 0.7500 0.7500 0.7500
Ba 0.5000 0.5000 0.5000
```

Results
* total DFT energy (no corrections): -11.08 eV per cell
* energy of formation from the pure elements: -0.08 eV/atom
* total magnetic moment: 0.005 μB per cell

=====

[2]
VASP calculation (GGA-PBEsol) on AgAu2 after structural relaxation. Values from VASP.

Structure (Quantum ESPRESSO input):
```
&SYSTEM
  ibrav = 0, nat = 6, ntyp = 2
/
ATOMIC_SPECIES
Au 196.97 Au.upf
Ag 107.87 Ag.upf
CELL_PARAMETERS angstrom
-3.1786 2.4386 0.8272
0.6664 -0.4759 3.9638
4.0229 4.5854 1.9407
ATOMIC_POSITIONS crystal
Au 0.2500 0.2505 0.4991
Au 0.7500 0.4174 0.1652
Au 0.7500 0.7495 0.5009
Au 0.2500 0.5826 0.8348
Ag 0.7500 0.0831 0.8338
Ag 0.2500 0.9169 0.1662
```

Results
* total DFT energy (no corrections): -22.60 eV per cell
* relative energy among the computed polymorphs: 4 meV/atom
* energy of formation from the pure elements: -0.05 eV/atom
* total magnetic moment: 0.000 μB per cell

=====

[3]
VASP calculation (GGA-PBEsol) on CrTe2Rh after structural relaxation. Values from VASP.

Structure (Quantum ESPRESSO input):
```
&SYSTEM
  ibrav = 0, nat = 4, ntyp = 3
/
ATOMIC_SPECIES
Te 127.60 Te.upf
Rh 102.91 Rh.upf
Cr 52.00 Cr.upf
CELL_PARAMETERS angstrom
-4.1750 0.1422 2.1640
-0.4137 -1.5617 4.4186
-0.7264 3.0443 3.5126
ATOMIC_POSITIONS crystal
Te 0.2500 0.2500 0.2500
Te 0.7500 0.7500 0.7500
Rh 0.0000 0.0000 0.0000
Cr 0.5000 0.5000 0.5000
```

Results
* total DFT energy (no corrections): -24.62 eV per cell
* relative energy among the computed polymorphs: 0 meV/atom
* total magnetic moment: 3.224 μB per cell
* energy relative to the elements, uncorrected: 203 meV/atom

=====

[4]
VASP calculation (GGA-PBEsol) on BaHgSb4 after structural relaxation. Values from VASP.

Structure (Quantum ESPRESSO input):
```
&SYSTEM
  ibrav = 0, nat = 6, ntyp = 3
/
ATOMIC_SPECIES
Hg 200.59 Hg.upf
Ba 137.33 Ba.upf
Sb 121.76 Sb.upf
CELL_PARAMETERS angstrom
6.3473 0.0000 0.0000
3.1736 5.4969 0.0000
3.1736 1.8323 5.1825
ATOMIC_POSITIONS crystal
Hg 0.0000 0.0000 0.0000
Ba 0.7500 0.7500 0.7500
Sb 0.3722 0.3722 0.3722
Sb 0.3722 0.3722 0.8835
Sb 0.3722 0.8835 0.3722
Sb 0.8835 0.3722 0.3722
```

Results
* total DFT energy (no corrections): -22.84 eV per cell
* total magnetic moment: 0.000 μB per cell
* energy relative to the elements, uncorrected: -315 meV/atom